# 1
VASP calculation (PBE) on a relaxed PmNd4Sb2 crystal.

The structure in extended XYZ format:
```
7
Lattice="-4.7913 -0.5218 -2.4770 -0.1561 -5.2316 1.4040 -1.4885 4.9354 7.7671" Properties=species:S:1:pos:R:3 pbc="T T T"
Pm 0.0000 0.0000 0.0000
Nd -4.9795 -1.5747 4.0362
Nd -1.4565 0.7568 2.6579
Nd -0.0781 -2.6158 0.7020
Nd -2.3957 -0.2609 -1.2385
Sb -3.5287 -2.3286 1.3886
Sb -2.9073 1.5106 5.3054
```

Output
Calculated volume (Å³/atom): 35.65
Raw formation energy (eV/atom): 0.11
D(E_F) (states/eV/f.u.): 7.771
Final energy (eV for the cell shown): -31.28

***

# 2
VASP calculation (PBE) on a relaxed LiTa2 crystal.

The structure in extended XYZ format:
```
3
Lattice="-0.7191 4.0569 -0.7387 -3.9372 -0.8984 -1.1014 -0.8628 0.3558 2.7939" Properties=species:S:1:pos:R:3 pbc="T T T"
Li 0.0000 0.0000 0.0000
Ta -2.4000 -0.2713 0.8463
Ta -0.7909 2.2064 1.0276
```

Output
Calculated volume (Å³/atom): 17.20
D(E_F) (states/eV/f.u.): 1.652
Final energy (eV for the cell shown): -22.54
Formation energy (eV/f.u.): 3.1